Record 1
The following is a GGA-PBE calculation of TcNi2Hg after structural relaxation, from the Alexandria database.

Calculated values
- Calculated formation energy: 334 meV/atom
- Calculated total energy: -20.90 eV/cell
- Total magnetic moment: 0.12 μB/cell
- Density of states at the Fermi level: 1.158 states/eV/atom

Unit cell a=4.7159 b=4.7159 c=4.7363 alpha=101.81 beta=101.81 gamma=33.56
Last column: nearest neighbours and their distance in Å.
Atoms (fractional coordinates):
1 Tc 0.0000 0.0000 0.0000  5 Ni 2.55-2.63, 2 Tc 2.72
2 Ni 0.4727 0.4727 0.4423  2 Tc 2.55, 4 Ni 2.59-2.72, 3 Hg 2.62-2.72
3 Ni 0.7418 0.7418 0.1718  3 Tc 2.55-2.63, 4 Ni 2.59-2.72, 4 Hg 2.73-2.74
4 Hg 0.2314 0.2314 0.6661  7 Ni 2.62-2.74, 2 Hg 2.72, 3 Tc 2.88-2.93

Record 2
The following is a GGA-PBE calculation of Nb3SiAs after structural relaxation, from the Alexandria database.

Calculated values
- ΔE_f (raw): 0.726 eV/atom
- Calculated total energy: -36.65 eV/cell
- Total magnetic moment: 0.00 μB/cell
- Energy relative to the lowest polymorph listed for this composition: 0 meV/atom
- Density of states at the Fermi level: 1.499 states/eV/atom

Unit cell a=4.6650 b=4.6650 c=4.6650 alpha=90.00 beta=90.00 gamma=90.00
Last column: nearest neighbours and their distance in Å.
Atoms (fractional coordinates):
1 Nb 0.0000 0.0000 0.5000  2 Si 2.33
2 Nb 0.0000 0.5000 0.0000  2 Si 2.33
3 Nb 0.5000 0.0000 0.0000  2 Si 2.33
4 Si 0.0000 0.0000 0.0000  6 Nb 2.33
5 As 0.5000 0.5000 0.5000  12 Nb 3.30

Record 3
The following is a GGA-PBE calculation of BaGe2Pt after structural relaxation, from the Alexandria database.

Calculated values
- Calculated formation energy: -597 meV/atom
- Calculated total energy: -39.18 eV/cell
- Total magnetic moment: 0.00 μB/cell
- Density of states at the Fermi level: 0.541 states/eV/atom

Unit cell a=9.4369 b=9.4369 c=4.8320 alpha=90.00 beta=90.00 gamma=153.07
Last column: nearest neighbours and their distance in Å.
Atoms (fractional coordinates):
1 Ba 0.1441 0.8559 0.0000  10 Ge 3.44-3.58, 4 Pt 3.49
2 Ba 0.8559 0.1441 0.0000  10 Ge 3.44-3.58, 4 Pt 3.49
3 Ge 0.0000 0.0000 0.5000  4 Pt 2.61
4 Ge 0.2874 0.7126 0.5000  1 Pt 2.49, 2 Ge 2.59
5 Ge 0.5000 0.5000 0.0000  4 Pt 2.80
6 Ge 0.7126 0.2874 0.5000  1 Pt 2.49, 2 Ge 2.59
7 Pt 0.4231 0.5769 0.5000  3 Ge 2.49-2.61
8 Pt 0.5769 0.4231 0.5000  3 Ge 2.49-2.61

Record 4
The following is a GGA-PBE calculation of ScTlPdCl6 after structural relaxation, from the Alexandria database.

Calculated values
- ΔE_f (raw): -1.275 eV/atom
- Calculated total energy: -36.45 eV/cell
- Total magnetic moment: 2.00 μB/cell

Unit cell a=6.5700 b=6.5700 c=7.1472 alpha=90.00 beta=90.00 gamma=120.00
Last column: nearest neighbours and their distance in Å.
Atoms (fractional coordinates):
1 Sc 0.0000 0.0000 0.0000  6 Cl 2.51
2 Tl 0.3333 0.6667 0.5000  6 Cl 3.23
3 Pd 0.6667 0.3333 0.0000  6 Cl 2.55
4 Cl 0.3290 0.0338 0.2012  1 Sc 2.51, 1 Pd 2.55
5 Cl 0.3290 0.2952 0.7988  1 Sc 2.51, 1 Pd 2.55
6 Cl 0.7048 0.0338 0.7988  1 Sc 2.51, 1 Pd 2.55
7 Cl 0.7048 0.6710 0.2012  1 Sc 2.51, 1 Pd 2.55
8 Cl 0.9662 0.2952 0.2012  1 Sc 2.51, 1 Pd 2.55
9 Cl 0.9662 0.6710 0.7988  1 Sc 2.51, 1 Pd 2.55

Record 5
The following is a GGA-PBE calculation of Dy4CuSe2S after structural relaxation, from the Alexandria database.

Calculated values
- ΔE_f (raw): -1.432 eV/atom
- Calculated total energy: -45.05 eV/cell
- Total magnetic moment: 0.00 μB/cell
- Density of states at the Fermi level: 0.619 states/eV/atom

Unit cell a=7.0382 b=3.9370 c=7.0518 alpha=90.00 beta=108.68 gamma=90.00
Last column: nearest neighbours and their distance in Å.
Atoms (fractional coordinates):
1 Dy 0.2421 0.0000 0.2344  2 Cu 2.78, 1 S 2.82, 3 Se 2.91-2.92
2 Dy 0.2557 0.5000 0.7641  2 S 2.79, 1 Cu 2.81, 3 Se 2.90-2.91
3 Dy 0.7443 0.5000 0.2359  2 S 2.79, 1 Cu 2.81, 3 Se 2.90-2.91
4 Dy 0.7579 0.0000 0.7656  2 Cu 2.78, 1 S 2.82, 3 Se 2.91-2.92
5 Cu 0.0000 0.5000 0.0000  6 Dy 2.78-2.81
6 Se 0.0000 0.0000 0.5000  6 Dy 2.90-2.91
7 Se 0.5000 0.5000 0.5000  6 Dy 2.91-2.92
8 S 0.5000 0.0000 0.0000  6 Dy 2.79-2.82

Record 6
The following is a GGA-PBE calculation of TlHg5H2 after structural relaxation, from the Alexandria database.

Calculated values
- Calculated total energy: -8.10 eV/cell
- Total magnetic moment: 0.00 μB/cell
- Density of states at the Fermi level: 0.339 states/eV/atom

Unit cell a=9.1044 b=9.1044 c=9.1044 alpha=151.09 beta=151.09 gamma=41.34
Last column: nearest neighbours and their distance in Å.
Atoms (fractional coordinates):
1 Tl 0.0000 0.0000 0.0000  2 H 2.55
2 Hg 0.1625 0.6625 0.5000  2 H 2.28
3 Hg 0.3375 0.8375 0.5000  2 H 2.28
4 Hg 0.5000 0.5000 0.0000  4 Tl 3.21, 8 Hg 3.58
5 Hg 0.6625 0.1625 0.5000  2 H 2.28
6 Hg 0.8375 0.3375 0.5000  2 H 2.28
7 H 0.1496 0.1496 0.0000  4 Hg 2.28, 1 Tl 2.55
8 H 0.8504 0.8504 0.0000  4 Hg 2.28, 1 Tl 2.55

Record 7
The following is a GGA-PBE calculation of NbCdSnBr2 after structural relaxation, from the Alexandria database.

Calculated values
- ΔE_f (raw): 0.628 eV/atom
- Calculated total energy: -15.19 eV/cell
- Total magnetic moment: 3.75 μB/cell
- Density of states at the Fermi level: 2.447 states/eV/atom

Unit cell a=5.6499 b=5.6499 c=5.7660 alpha=90.00 beta=90.00 gamma=90.00
Last column: nearest neighbours and their distance in Å.
Atoms (fractional coordinates):
1 Nb 0.0000 0.0000 0.0000  2 Sn 2.88
2 Cd 0.5000 0.5000 0.0000  4 Nb 4.00, 8 Br 4.04
3 Sn 0.0000 0.0000 0.5000  4 Br 2.82, 2 Nb 2.88
4 Br 0.0000 0.5000 0.5000  2 Sn 2.82
5 Br 0.5000 0.0000 0.5000  2 Sn 2.82

Record 8
The following is a GGA-PBE calculation of MgScMn after structural relaxation, from the Alexandria database.

Calculated values
- Calculated formation energy: 73 meV/atom
- Calculated total energy: -16.88 eV/cell
- Total magnetic moment: 2.87 μB/cell
- Energy relative to the lowest polymorph listed for this composition: 0 meV/atom
- Density of states at the Fermi level: 0.482 states/eV/atom

Unit cell a=6.4660 b=6.4660 c=6.4660 alpha=152.21 beta=152.21 gamma=39.71
Last column: nearest neighbours and their distance in Å.
Atoms (fractional coordinates):
1 Mg 0.0000 0.0000 0.0000  4 Mn 2.89, 4 Mg 3.11
2 Sc 0.7014 0.7014 0.0000  4 Mn 2.81, 4 Sc 3.11
3 Mn 0.3460 0.3460 0.0000  4 Sc 2.81, 4 Mg 2.89, 4 Mn 3.11